No. 1
Computed, not measured: crystalline PmHoAgAu at its relaxed geometry at the GGA-PBE level of DFT.

Cell: 5.1696 5.1696 5.1696 Å, 60.00 60.00 60.00°
Closest atoms and distances in Å follow each position.
Fractional positions:
Pm (0.5000, 0.5000, 0.5000)  4 Ag 3.17, 4 Au 3.17
Ag (0.2500, 0.2500, 0.2500)  4 Ho 3.17, 4 Pm 3.17
Au (0.7500, 0.7500, 0.7500)  4 Ho 3.17, 4 Pm 3.17
Ho (0.0000, 0.0000, 0.0000)  4 Ag 3.17, 4 Au 3.17

Computed properties:
**DFT formation energy**: -0.556 eV per atom
**Relative energy among the computed polymorphs**: 0.07 eV per formula unit
**Crystal system**: cubic


No. 2
Computed, not measured: crystalline PmHoAgAu at its relaxed geometry at the GGA-PBE level of DFT.

Cell: 3.6205 3.6205 7.4335 Å, 90.00 90.00 90.00°
Closest atoms and distances in Å follow each position.
Fractional positions:
Pm (0.5000, 0.5000, 0.6021)  4 Au 3.23, 4 Ag 3.27
Ag (0.0000, 0.0000, 0.8755)  4 Ho 3.11, 4 Pm 3.27, 1 Au 3.43
Au (0.0000, 0.0000, 0.3370)  4 Ho 3.05, 4 Pm 3.23
Ho (0.5000, 0.5000, 0.1134)  4 Au 3.05, 4 Ag 3.11

Computed properties:
**DFT formation energy**: -0.574 eV per atom
**Relative energy among the computed polymorphs**: 0.00 eV per formula unit
**Crystal system**: tetragonal


No. 3
Computed, not measured: crystalline PrHoAgAu at its relaxed geometry at the GGA-PBE level of DFT.

Cell: 5.2105 5.2105 5.2105 Å, 60.00 60.00 60.00°
Closest atoms and distances in Å follow each position.
Fractional positions:
Ho (0.7500, 0.7500, 0.7500)  4 Au 3.19, 4 Ag 3.19
Ag (0.5000, 0.5000, 0.5000)  4 Ho 3.19, 4 Pr 3.19
Pr (0.2500, 0.2500, 0.2500)  4 Ag 3.19, 4 Au 3.19
Au (0.0000, 0.0000, 0.0000)  4 Pr 3.19, 4 Ho 3.19

Computed properties:
**DFT formation energy**: -0.529 eV per atom
**Relative energy among the computed polymorphs**: 0.13 eV per formula unit
**Crystal system**: cubic


No. 4
Computed, not measured: crystalline PrHoAgAu at its relaxed geometry at the GGA-PBE level of DFT.

Cell: 3.6387 3.6387 7.5133 Å, 90.00 90.00 90.00°
Closest atoms and distances in Å follow each position.
Fractional positions:
Ho (0.0000, 0.0000, 0.3502)  4 Au 3.04, 4 Ag 3.11
Pr (0.0000, 0.0000, 0.8615)  4 Au 3.29, 4 Ag 3.32, 4 Pr 3.64, 1 Ho 3.67
Au (0.5000, 0.5000, 0.1343)  4 Ho 3.04, 4 Pr 3.29, 1 Ag 3.36
Ag (0.5000, 0.5000, 0.5820)  4 Ho 3.11, 4 Pr 3.32, 1 Au 3.36

Computed properties:
**DFT formation energy**: -0.562 eV per atom
**Relative energy among the computed polymorphs**: 0.00 eV per formula unit
**Crystal system**: tetragonal


No. 5
Computed, not measured: crystalline HoAgPtAu at its relaxed geometry at the GGA-PBE level of DFT.

Cell: 4.8067 4.8067 4.8067 Å, 60.00 60.00 60.00°
Closest atoms and distances in Å follow each position.
Fractional positions:
Au (0.2500, 0.2500, 0.2500)  4 Ho 2.94, 4 Ag 2.94
Ho (0.0000, 0.0000, 0.0000)  4 Pt 2.94, 4 Au 2.94
Pt (0.7500, 0.7500, 0.7500)  4 Ag 2.94, 4 Ho 2.94
Ag (0.5000, 0.5000, 0.5000)  4 Pt 2.94, 4 Au 2.94

Computed properties:
**DFT formation energy**: -0.667 eV per atom
**Crystal system**: cubic


No. 6
Computed, not measured: crystalline HoPuAgAu at its relaxed geometry at the GGA-PBE level of DFT.

Cell: 5.1377 5.1377 5.1377 Å, 60.00 60.00 60.00°
Closest atoms and distances in Å follow each position.
Fractional positions:
Pu (0.2500, 0.2500, 0.2500)  4 Au 3.15, 4 Ag 3.15
Au (0.5000, 0.5000, 0.5000)  4 Pu 3.15, 4 Ho 3.15
Ho (0.7500, 0.7500, 0.7500)  4 Ag 3.15, 4 Au 3.15
Ag (0.0000, 0.0000, 0.0000)  4 Ho 3.15, 4 Pu 3.15

Computed properties:
**DFT formation energy**: -0.336 eV per atom
**Crystal system**: cubic


No. 7
Computed, not measured: crystalline Ho4AgRhAu2 at its relaxed geometry at the GGA-PBE level of DFT.

Cell: 5.0327 5.0327 8.6646 Å, 73.12 73.12 60.00°
Closest atoms and distances in Å follow each position.
Fractional positions:
Au (0.2563, 0.2563, 0.2310)  8 Ho 2.99-3.18
Au (0.7437, 0.7437, 0.7690)  8 Ho 2.99-3.18
Ho (0.6190, 0.6190, 0.1431)  1 Rh 2.91, 4 Au 2.99-3.05, 3 Ag 3.13
Ho (0.1301, 0.1301, 0.6097)  3 Rh 3.04, 4 Au 3.09-3.18, 1 Ag 3.19
Ho (0.8699, 0.8699, 0.3903)  3 Rh 3.04, 4 Au 3.09-3.18, 1 Ag 3.19
Ho (0.3810, 0.3810, 0.8569)  1 Rh 2.91, 4 Au 2.99-3.05, 3 Ag 3.13
Ag (0.0000, 0.0000, 0.0000)  8 Ho 3.13-3.19, 6 Au 3.46
Rh (0.5000, 0.5000, 0.5000)  8 Ho 2.91-3.04

Computed properties:
**DFT formation energy**: -0.739 eV per atom
**Crystal system**: trigonal


No. 8
Computed, not measured: crystalline Ho4AgRuAu2 at its relaxed geometry at the GGA-PBE level of DFT.

Cell: 5.0269 5.0269 8.6417 Å, 73.09 73.09 60.00°
Closest atoms and distances in Å follow each position.
Fractional positions:
Ho (0.8696, 0.8696, 0.3913)  4 Au 3.01-3.16, 3 Ru 3.03, 1 Ag 3.19
Ho (0.1304, 0.1304, 0.6087)  4 Au 3.01-3.16, 3 Ru 3.03, 1 Ag 3.19
Ho (0.6187, 0.6187, 0.1440)  1 Ru 2.90, 4 Au 3.00-3.11, 3 Ag 3.13
Ho (0.3813, 0.3813, 0.8560)  1 Ru 2.90, 4 Au 3.00-3.11, 3 Ag 3.13
Au (0.7462, 0.7462, 0.7613)  8 Ho 3.00-3.16
Au (0.2538, 0.2538, 0.2387)  8 Ho 3.00-3.16
Ru (0.5000, 0.5000, 0.5000)  8 Ho 2.90-3.03
Ag (0.0000, 0.0000, 0.0000)  8 Ho 3.13-3.19, 6 Au 3.49

Computed properties:
**DFT formation energy**: -0.620 eV per atom
**Crystal system**: trigonal


No. 9
Computed, not measured: crystalline HoAgSbAu at its relaxed geometry at the GGA-PBE level of DFT.

Cell: 5.0327 5.0327 5.0327 Å, 60.00 60.00 60.00°
Closest atoms and distances in Å follow each position.
Fractional positions:
Ho (0.7500, 0.7500, 0.7500)  4 Au 3.08, 4 Sb 3.08
Sb (0.0000, 0.0000, 0.0000)  4 Ho 3.08, 4 Ag 3.08
Au (0.5000, 0.5000, 0.5000)  4 Ho 3.08, 4 Ag 3.08
Ag (0.2500, 0.2500, 0.2500)  4 Au 3.08, 4 Sb 3.08

Computed properties:
**Formation energy from raw total energies**: -0.497 eV/atom
**Crystal system**: cubic


No. 10
Computed, not measured: crystalline HoAgSnAu at its relaxed geometry at the GGA-PBE level of DFT.

Cell: 4.9624 4.9624 4.9624 Å, 60.00 60.00 60.00°
Closest atoms and distances in Å follow each position.
Fractional positions:
Ho (0.5000, 0.5000, 0.5000)  4 Ag 3.04, 4 Au 3.04
Ag (0.7500, 0.7500, 0.7500)  4 Ho 3.04, 4 Sn 3.04
Au (0.2500, 0.2500, 0.2500)  4 Sn 3.04, 4 Ho 3.04
Sn (0.0000, 0.0000, 0.0000)  4 Au 3.04, 4 Ag 3.04

Computed properties:
**DFT formation energy**: -0.521 eV per atom
**Crystal system**: cubic


No. 11
Computed, not measured: crystalline Sr2HoAgAu6 at its relaxed geometry at the GGA-PBE level of DFT.

Cell: 7.5433 7.5433 7.5433 Å, 60.00 60.00 90.00°
Closest atoms and distances in Å follow each position.
Fractional positions:
Au (0.2454, 0.7546, 0.0000)  1 Ag 2.62, 1 Ho 2.72
Au (0.7546, 0.7546, 0.4909)  1 Ag 2.62, 1 Ho 2.72
Au (0.7546, 0.7546, 0.0000)  1 Ag 2.62, 1 Ho 2.72
Au (0.7546, 0.2454, 0.0000)  1 Ag 2.62, 1 Ho 2.72
Au (0.2454, 0.2454, 0.5091)  1 Ag 2.62, 1 Ho 2.72
Au (0.2454, 0.2454, 0.0000)  1 Ag 2.62, 1 Ho 2.72
Sr (0.7500, 0.2500, 0.5000)  12 Au 3.77
Sr (0.2500, 0.7500, 0.5000)  12 Au 3.77
Ag (0.0000, 0.0000, 0.0000)  6 Au 2.62
Ho (0.5000, 0.5000, 0.0000)  6 Au 2.72

Computed properties:
**DFT formation energy**: -0.214 eV per atom
**Crystal system**: cubic


No. 12
Computed, not measured: crystalline HoThAgAu at its relaxed geometry at the GGA-PBE level of DFT.

Cell: 5.1988 5.1988 5.1988 Å, 60.00 60.00 60.00°
Closest atoms and distances in Å follow each position.
Fractional positions:
Ag (0.2500, 0.2500, 0.2500)  4 Ho 3.18, 4 Th 3.18
Au (0.7500, 0.7500, 0.7500)  4 Th 3.18, 4 Ho 3.18
Ho (0.0000, 0.0000, 0.0000)  4 Au 3.18, 4 Ag 3.18
Th (0.5000, 0.5000, 0.5000)  4 Au 3.18, 4 Ag 3.18

Computed properties:
**DFT formation energy**: -0.419 eV per atom
**Crystal system**: cubic


No. 13
Computed, not measured: crystalline HoTlAgAu at its relaxed geometry at the GGA-PBE level of DFT.

Cell: 4.9782 4.9782 4.9782 Å, 60.00 60.00 60.00°
Closest atoms and distances in Å follow each position.
Fractional positions:
Au (0.2500, 0.2500, 0.2500)  4 Tl 3.05, 4 Ho 3.05
Ho (0.0000, 0.0000, 0.0000)  4 Au 3.05, 4 Ag 3.05
Tl (0.5000, 0.5000, 0.5000)  4 Au 3.05, 4 Ag 3.05
Ag (0.7500, 0.7500, 0.7500)  4 Tl 3.05, 4 Ho 3.05

Computed properties:
**DFT formation energy**: -0.389 eV per atom
**Crystal system**: cubic


No. 14
Computed, not measured: crystalline HoTmAgAu at its relaxed geometry at the GGA-PBE level of DFT.

Cell: 5.0668 5.0668 5.0668 Å, 60.00 60.00 60.00°
Closest atoms and distances in Å follow each position.
Fractional positions:
Ag (0.2500, 0.2500, 0.2500)  4 Ho 3.10, 4 Tm 3.10
Ho (0.5000, 0.5000, 0.5000)  4 Ag 3.10, 4 Au 3.10
Au (0.7500, 0.7500, 0.7500)  4 Ho 3.10, 4 Tm 3.10
Tm (0.0000, 0.0000, 0.0000)  4 Au 3.10, 4 Ag 3.10

Computed properties:
**DFT formation energy**: -0.606 eV per atom
**Crystal system**: cubic


No. 15
Computed, not measured: crystalline HoZn2AgAu2 at its relaxed geometry at the GGA-PBE level of DFT.

Cell: 4.5534 4.5534 6.3051 Å, 90.00 90.00 120.00°
Closest atoms and distances in Å follow each position.
Fractional positions:
Au (0.6667, 0.3333, 0.7491)  4 Zn 2.65-2.82
Au (0.3333, 0.6667, 0.2509)  4 Zn 2.65-2.82
Zn (0.6667, 0.3333, 0.3017)  4 Au 2.65-2.82, 3 Ag 2.91
Zn (0.3333, 0.6667, 0.6983)  4 Au 2.65-2.82, 3 Ag 2.91
Ag (0.0000, 0.0000, 0.5000)  6 Zn 2.91, 6 Au 3.06, 2 Ho 3.15
Ho (0.0000, 0.0000, 0.0000)  6 Au 3.07, 2 Ag 3.15, 6 Zn 3.24

Computed properties:
**DFT formation energy**: -0.460 eV per atom
**Crystal system**: trigonal


Values for VASP energy, eV per atom, ordered as above
-4.420; -4.438; -4.400; -4.433; -4.854; -6.595; -5.122; -5.244; -4.204; -4.198; -3.260; -4.950; -3.657; -4.400; -3.215